Entry 1:
! SmPu2Al, relaxed, DFT PBE; values from VASP
&SYSTEM
  ibrav = 0, nat = 4, ntyp = 3
/
ATOMIC_SPECIES
Pu 244.00 Pu.upf
Sm 150.36 Sm.upf
Al 26.98 Al.upf
ATOMIC_POSITIONS angstrom
Pu 0.000 0.000 1.499
Pu 0.000 0.000 5.814
Sm 1.893 1.893 3.656
Al 1.893 1.893 0.000
CELL_PARAMETERS angstrom
3.785 0.000 0.000
0.000 3.785 0.000
0.000 0.000 7.312
! - energy (eV per formula unit) = -36.83
! - energy relative to the lowest polymorph listed for this composition (meV per atom) = 132.7
! - symmetry = P4/mmm, No. 123
! - E_form (eV/atom) = 0.074
! - total magnetic moment (μB per atom) = 2.92


Entry 2:
! Ta2Ti2Ni2C, relaxed, DFT PBE; values from VASP
&SYSTEM
  ibrav = 0, nat = 28, ntyp = 4
/
ATOMIC_SPECIES
Ni 58.69 Ni.upf
Ti 47.87 Ti.upf
Ta 180.95 Ta.upf
C 12.01 C.upf
ATOMIC_POSITIONS angstrom
Ni 6.849 0.002 0.928
Ni 1.405 4.095 1.891
Ni 0.033 -2.648 3.892
Ni 6.702 4.058 1.891
Ni 4.090 -2.772 4.855
Ni 4.064 2.771 4.855
Ni 1.306 -0.004 0.928
Ni -0.033 2.648 3.892
Ti 0.000 0.000 3.653
Ti 5.564 2.575 0.000
Ti -0.048 6.096 1.450
Ti -2.043 4.090 4.333
Ti 1.995 4.064 4.333
Ti 4.053 4.076 2.130
Ti 2.543 5.578 0.000
Ti 0.001 2.058 1.450
Ta 2.579 1.489 2.891
Ta 5.546 5.577 0.000
Ta 2.581 -1.506 2.891
Ta 2.561 2.575 0.000
Ta 4.077 -0.001 0.779
Ta 5.575 -1.490 2.891
Ta 5.574 1.504 2.891
Ta 4.077 -0.001 5.004
C 2.011 -0.021 4.342
C -2.011 0.021 4.342
C 4.086 2.066 1.441
C 4.021 6.087 1.441
CELL_PARAMETERS angstrom
8.154 -0.001 0.000
-0.047 8.154 0.000
-4.053 -4.076 5.783
! - energy (eV per formula unit) = -63.64
! - symmetry = I-4m2, No. 119
! - E_form (eV/atom) = -0.479
! - total magnetic moment (μB per atom) = 0.00